# 1
First-principles (SCAN) data for a crystal of TlTc3 relaxed with PBEsol, as listed in the Alexandria database.

As for the formation energy from the elements: 3.34 eV per atom. The offset from the most stable computed form comes out at 2894.3 meV per atom.

Lattice parameters (Å, degrees): 5.1700 5.1700 5.1700 90.00 90.00 90.00
Space group Pm-3m (No. 221)
Inequivalent atoms, fractional coordinates:
Tl 0.0000 0.0000 0.0000
Tc 0.0000 0.0000 0.5000

# 2
First-principles (SCAN) data for a crystal of Ca2AgSb relaxed with PBEsol, as listed in the Alexandria database.

For the uncorrected formation energy, the calculation gives -0.554 eV/atom.

Lattice parameters (Å, degrees): 4.1863 4.6653 10.6240 90.00 90.00 90.00
Space group Imm2 (No. 44)
Inequivalent atoms, fractional coordinates:
Ca 0.0000 0.0000 0.0000
Ca 0.0000 0.5000 0.2268
Ag 0.0000 0.0000 0.4628
Sb 0.0000 0.5000 0.7657

# 3
First-principles (SCAN) data for a crystal of La2Ni2Pb relaxed with PBEsol, as listed in the Alexandria database.

As for the formation energy from the elements: -0.34 eV per atom.

Lattice parameters (Å, degrees): 3.5813 3.5813 17.9905 90.00 90.00 90.00
Space group I4/mmm (No. 139)
Inequivalent atoms, fractional coordinates:
La 0.0000 0.0000 0.1320
Ni 0.0000 0.5000 0.2500
Pb 0.0000 0.0000 0.5000

# 4
First-principles (SCAN) data for a crystal of BP2PbO relaxed with PBEsol, as listed in the Alexandria database.

For the uncorrected formation energy, the calculation gives 0.212 eV/atom. The offset from the most stable computed form comes out at 0.0 meV per atom.

Lattice parameters (Å, degrees): 5.3866 5.3866 2.7312 90.00 90.00 90.00
Space group P4/mmm (No. 123)
Inequivalent atoms, fractional coordinates:
B 0.0000 0.0000 0.0000
P 0.0000 0.5000 0.0000
Pb 0.5000 0.5000 0.5000
O 0.0000 0.0000 0.5000